Below is crystalline ZrFe5B3 at its relaxed geometry, with properties calculated at the PBE level.

Cell lengths 3.429, 5.752, 10.039 Å; angles 90.00, 90.00, 107.34 degrees
Element x y z (fractional)
Zr1 0.837 0.673 0.750
Zr2 0.163 0.327 0.250
Fe1 0.802 0.604 0.443
Fe2 0.198 0.396 0.943
Fe3 0.000 0.000 0.500
Fe4 0.000 0.000 0.000
Fe5 0.444 0.887 0.145
Fe6 0.556 0.113 0.855
Fe7 0.556 0.113 0.645
Fe8 0.802 0.604 0.057
Fe9 0.198 0.396 0.557
Fe10 0.444 0.887 0.355
B1 0.383 0.767 0.942
B2 0.870 0.740 0.250
B3 0.383 0.767 0.558
B4 0.617 0.233 0.442
B5 0.130 0.260 0.750
B6 0.617 0.233 0.058

Calculated total energy, eV per atom: -8.104
Symmetry: Cmcm (63)
Volume, A^3/atom: 10.5
Energy of formation from the pure elements, kJ/mol of atoms: -22